Computed, not measured: an optimized crystal structure of Ga2CoNi4 at the GGA-PBE level of DFT.

Lattice parameters (Å, degrees): 8.5515 4.8275 8.3911 90.00 90.00 90.00
Space group Cmce (No. 64)
Asymmetric unit:
Ga1 0.1838 0.0000 0.0000 [8 per cell]
Co1 0.0000 0.0000 0.5000 [4 per cell]
Ni1 0.0000 0.0096 0.2130 [8 per cell]
Ni2 0.2500 0.2444 0.7500 [8 per cell]

Crystal system = orthorhombic
DFT formation energy = -0.171 eV/f.u.

---

Computed, not measured: an optimized crystal structure of Ga6CoNi23 at the GGA-PBE level of DFT.

Lattice parameters (Å, degrees): 7.2079 7.2079 13.6929 90.00 90.00 90.00
Space group I4/mmm (No. 139)
Asymmetric unit:
Ga1 0.0000 0.0000 0.2495 [4 per cell]
Ga2 0.2490 0.2490 0.0000 [8 per cell]
Co1 0.0000 0.0000 0.5000 [2 per cell]
Ni1 0.0000 0.0000 0.0000 [2 per cell]
Ni2 0.0000 0.2547 0.3716 [16 per cell]
Ni3 0.0000 0.2562 0.1290 [16 per cell]
Ni4 0.0000 0.5000 0.0000 [4 per cell]
Ni5 0.2500 0.2500 0.2500 [8 per cell]

Crystal system = tetragonal
DFT formation energy = -2.851 eV/f.u.

---

Computed, not measured: an optimized crystal structure of GaCoNi2 at the GGA-PBE level of DFT.

Lattice parameters (Å, degrees): 2.8764 2.8764 5.6453 90.00 90.00 90.00
Space group P4/mmm (No. 123)
Asymmetric unit:
Ga1 0.0000 0.0000 0.0000 [1 per cell]
Co1 0.0000 0.0000 0.5000 [1 per cell]
Ni1 0.5000 0.5000 0.2560 [2 per cell]

Crystal system = tetragonal
DFT formation energy = -0.410 eV/f.u.

---

| no. | M_tot (Bohr magnetons per cell) | DOS(E_F) (states/eV per cell) |
| --- | --- | --- |
| 1 | 7.9 | 37.31 |
| 2 | 16.2 | 80.79 |
| 3 | 1.9 | 5.05 |